## a
Entry from Alexandria via LeMat-Bulk: an optimized crystal structure of CaYPO2 (GGA-PBE).

Computed properties:
N(E_F) = 0.86 states/eV/atom
total magnetic moment = 0.313 μB per atom

Cell and atoms, written as CIF:
```
data_CaYPO2
_chemical_formula_sum 'Ca1 Y1 P1 O2'
_symmetry_space_group_name_H-M 'P 4/m m m'
_symmetry_Int_Tables_number 123
_symmetry_space_group_name_Hall '-P 4 2'
_cell_length_a 4.255
_cell_length_b 4.255
_cell_length_c 5.302
_cell_angle_alpha 90.00
_cell_angle_beta 90.00
_cell_angle_gamma 90.00
loop_
_atom_site_label
_atom_site_fract_x
_atom_site_fract_y
_atom_site_fract_z
_atom_site_occupancy
Ca1 0.000 0.000 0.000 1
Y1 0.500 0.500 0.500 1
P1 0.000 0.000 0.500 1
O1 0.000 0.500 0.000 1
```

## b
Entry from Alexandria via LeMat-Bulk: an optimized crystal structure of CaYPO2 (GGA-PBE).

Computed properties:
N(E_F) = 0.83 states/eV/atom
total magnetic moment = 0.327 μB per atom

Cell and atoms, written as CIF:
```
data_CaYPO2
_chemical_formula_sum 'Ca1 Y1 P1 O2'
_symmetry_space_group_name_H-M 'P 4/m m m'
_symmetry_Int_Tables_number 123
_symmetry_space_group_name_Hall '-P 4 2'
_cell_length_a 4.372
_cell_length_b 4.372
_cell_length_c 5.472
_cell_angle_alpha 90.00
_cell_angle_beta 90.00
_cell_angle_gamma 90.00
loop_
_atom_site_label
_atom_site_fract_x
_atom_site_fract_y
_atom_site_fract_z
_atom_site_occupancy
Ca1 0.000 0.000 0.000 1
Y1 0.500 0.500 0.500 1
P1 0.500 0.500 0.000 1
O1 0.000 0.500 0.500 1
```

Energies relative to the most stable structure are a 47.4; b 0.0, reported in kJ/mol of atoms.